Record 1
The following is a PBE-GGA calculation of a relaxed BaCe4Ge4 crystal, from Alexandria.

a = 5.866 Å, b = 9.854 Å, c = 9.854 Å
α = 90.00°, β = 90.00°, γ = 90.00°
Site moments in Bohr magnetons follow the coordinates.
Sites, in units of the cell vectors:
Ba 0.000 0.000 0.000  0.02
Ba 0.500 0.500 0.500  0.02
Ce 0.390 0.375 0.886  0.76
Ce 0.890 0.614 0.875  0.76
Ce 0.390 0.625 0.114  0.76
Ce 0.110 0.125 0.614  0.76
Ce 0.610 0.886 0.625  0.76
Ce 0.110 0.875 0.386  0.76
Ce 0.890 0.386 0.125  0.76
Ce 0.610 0.114 0.375  0.76
Ge 0.595 0.815 0.318  -0.01
Ge 0.595 0.185 0.682  -0.01
Ge 0.095 0.818 0.685  -0.01
Ge 0.905 0.315 0.818  -0.01
Ge 0.905 0.685 0.182  -0.01
Ge 0.405 0.318 0.185  -0.01
Ge 0.405 0.682 0.815  -0.01
Ge 0.095 0.182 0.315  -0.01

Its raw total energy is -5.354 eV per atom. Its symmetry is P4_2/n. As for the formation energy: -0.451 eV/atom. The density of states at the Fermi level is 47.167 states/eV/cell.

=====

Record 2
The following is a PBE-GGA calculation of a relaxed Np2U5As3 crystal, from Alexandria.

a = 9.182 Å, b = 8.025 Å, c = 8.504 Å
α = 118.16°, β = 122.68°, γ = 90.00°
Site moments in Bohr magnetons follow the coordinates.
Sites, in units of the cell vectors:
Np 0.862 0.882 0.723  -0.31
Np 0.138 0.118 0.277  -0.31
Np 0.362 0.841 0.723  -0.31
Np 0.638 0.159 0.277  -0.31
U 0.250 0.500 0.000  2.04
U 0.750 0.500 0.000  2.04
U 0.011 0.761 0.523  -0.09
U 0.489 0.239 0.477  -0.09
U 0.989 0.239 0.477  -0.09
U 0.511 0.761 0.523  -0.09
U 0.878 0.597 0.755  0.50
U 0.122 0.403 0.245  0.50
U 0.378 0.158 0.755  0.50
U 0.622 0.842 0.245  0.50
As 0.250 0.000 0.000  0.01
As 0.750 0.000 0.000  0.01
As 0.632 0.499 0.263  -0.01
As 0.368 0.501 0.737  -0.01
As 0.132 0.764 0.263  -0.01
As 0.868 0.236 0.737  -0.01

Its raw total energy is -9.706 eV per atom. Its symmetry is Ibam. As for the formation energy: -0.079 eV/atom. The density of states at the Fermi level is 47.742 states/eV/cell.

=====

Record 3
The following is a PBE-GGA calculation of a relaxed SbP2S2 crystal, from Alexandria.

a = 4.606 Å, b = 4.606 Å, c = 4.474 Å
α = 90.00°, β = 90.00°, γ = 90.00°
Sites, in units of the cell vectors:
Sb 0.500 0.500 0.500
S 0.000 0.500 0.000
S 0.500 0.000 0.000
P 0.000 0.000 0.000
P 0.000 0.000 0.500

Its raw total energy is -4.172 eV per atom. Its symmetry is P4/mmm. As for the raw formation energy: 0.467 eV/atom. The density of states at the Fermi level is 2.876 states/eV/cell.

=====

Record 4
The following is a PBE-GGA calculation of a relaxed Mn2C crystal, from Alexandria.

a = 2.869 Å, b = 5.630 Å, c = 6.667 Å
α = 90.00°, β = 90.00°, γ = 90.00°
Site moments in Bohr magnetons follow the coordinates.
Sites, in units of the cell vectors:
C 0.250 0.798 0.337  -0.09
C 0.750 0.702 0.837  -0.09
C 0.250 0.298 0.163  -0.09
C 0.750 0.202 0.663  -0.09
Mn 0.250 0.004 0.823  1.99
Mn 0.750 0.496 0.323  1.99
Mn 0.250 0.504 0.677  1.99
Mn 0.750 0.996 0.177  1.99
Mn 0.250 0.164 0.451  0.97
Mn 0.750 0.336 0.951  0.97
Mn 0.250 0.664 0.049  0.97
Mn 0.750 0.836 0.549  0.97

Its raw total energy is -9.101 eV per atom. Its symmetry is Pnma. As for the formation energy: 0.086 eV/atom. The density of states at the Fermi level is 11.201 states/eV/cell.

=====

Record 5
The following is a PBE-GGA calculation of a relaxed Cs3Ac3ZrO8 crystal, from Alexandria.

a = 7.507 Å, b = 7.508 Å, c = 8.271 Å
α = 117.01°, β = 90.00°, γ = 120.00°
Sites, in units of the cell vectors:
Cs 0.000 0.000 0.000
Cs 0.000 0.500 0.000
Cs 0.500 0.500 0.000
Ac 0.500 0.000 0.500
Ac 0.500 0.500 0.500
Ac 0.000 0.500 0.500
Zr 0.000 0.000 0.500
O 0.276 0.551 0.327
O 0.724 0.449 0.673
O 0.802 0.603 0.342
O 0.198 0.397 0.658
O 0.801 0.041 0.342
O 0.199 0.959 0.658
O 0.239 0.041 0.342
O 0.761 0.959 0.658

Its raw total energy is -6.879 eV per atom. Its symmetry is R-3m. As for the raw formation energy: -2.673 eV/atom. The density of states at the Fermi level is 0.000 states/eV/cell.

=====

Record 6
The following is a PBE-GGA calculation of a relaxed Ba2Zn4InGe3 crystal, from Alexandria.

a = 4.571 Å, b = 4.571 Å, c = 11.052 Å
α = 90.00°, β = 90.00°, γ = 90.00°
Sites, in units of the cell vectors:
Ba 0.500 0.000 0.238
Ba 0.000 0.500 0.762
Zn 0.500 0.500 0.000
Zn 0.000 0.000 0.000
Zn 0.500 0.000 0.640
Zn 0.000 0.500 0.360
In 0.500 0.500 0.500
Ge 0.000 0.000 0.500
Ge 0.500 0.000 0.875
Ge 0.000 0.500 0.125

Its raw total energy is -2.919 eV per atom. Its symmetry is P-4m2. As for the formation energy: -0.366 eV/atom. The density of states at the Fermi level is 2.244 states/eV/cell.

=====

no.,volume (Å³/atom)
1,31.64
2,21.84
3,18.99
4,8.97
5,22.92
6,23.09